Record 1
VASP calculation (PBE) on crystalline Pm4Ga2Ru at its relaxed geometry.

a b c (Å): 5.3461 5.3461 14.7739
angles (deg): 90.00 90.00 90.00
Space group I4/mmm (No. 139)
Unique sites:
1 Pm 0.0000 0.0000 0.1866 [4 per cell]
2 Pm 0.0000 0.5000 0.0000 [4 per cell]
3 Ga 0.0000 0.0000 0.3849 [4 per cell]
4 Ru 0.0000 0.0000 0.0000 [2 per cell]

Output
DFT total energy = -5.0567 eV per atom
energy above the lowest structure with this stoichiometry = 1.878 eV per formula unit

***

Record 2
VASP calculation (PBE) on crystalline Pm4GaRu3 at its relaxed geometry.

a b c (Å): 4.2914 4.3763 10.4770
angles (deg): 90.00 90.00 90.00
Space group Pmm2 (No. 25)
Unique sites:
1 Pm 0.0000 0.0000 0.0000 [1 per cell]
2 Pm 0.0000 0.5000 0.2826 [1 per cell]
3 Pm 0.5000 0.0000 0.5136 [1 per cell]
4 Pm 0.5000 0.5000 0.8013 [1 per cell]
5 Ga 0.5000 0.0000 0.2115 [1 per cell]
6 Ru 0.0000 0.0000 0.7035 [1 per cell]
7 Ru 0.0000 0.5000 0.6050 [1 per cell]
8 Ru 0.5000 0.5000 0.0840 [1 per cell]

Output
DFT total energy = -6.5027 eV per atom

***

Q: Among the records above, which one has the lowest DFT total energy?
A: Pm4GaRu3